(1)
{"formula": "In2ReTcS", "functional": "PBE-GGA", "state": "optimized geometry", "total_energy_ev_per_atom": -5.403, "raw_formation_energy_ev_per_fu": 5.40, "n_ef_per_ev_fu": 4.15, "magmom_total_mub_per_atom": 0.410, "lattice_angstrom": [[5.2361, 0.0000, 0.0000], [0.0000, 4.6940, 0.0000], [0.0000, 0.0000, 5.2361]], "species": ["Re", "S", "Tc", "In", "In"], "fractional_positions": [[0.0000, 0.0000, 0.0000], [0.5000, 0.5000, 0.5000], [0.0000, 0.5000, 0.0000], [0.0000, 0.0000, 0.5000], [0.5000, 0.0000, 0.0000]]}

---

(2)
{"formula": "InReSb2", "functional": "PBE-GGA", "state": "optimized geometry", "total_energy_ev_per_atom": -5.361, "raw_formation_energy_ev_per_fu": 1.99, "n_ef_per_ev_fu": 2.95, "magmom_total_mub_per_atom": 0.000, "lattice_angstrom": [[3.1688, -0.0111, 0.0000], [-1.4636, 2.8105, 0.0000], [0.0000, 0.0000, 10.6808]], "species": ["In", "Re", "Sb", "Sb"], "fractional_positions": [[0.5000, 0.5000, 0.2500], [0.5000, 0.5000, 0.7500], [0.0000, 0.0000, 0.9544], [0.0000, 0.0000, 0.5456]]}

---

(3)
{"formula": "In2Re2Sb", "functional": "PBE-GGA", "state": "optimized geometry", "total_energy_ev_per_atom": -5.999, "raw_formation_energy_ev_per_fu": 4.50, "n_ef_per_ev_fu": 4.22, "magmom_total_mub_per_atom": 0.000, "polymorph_energy_ev_per_atom": 0.269, "lattice_angstrom": [[-0.6213, 3.8951, -7.5083], [-0.7817, -7.5227, -3.8379], [-2.7990, 0.1365, 0.3024]], "species": ["Re", "Re", "Re", "Re", "In", "In", "In", "In", "Sb", "Sb"], "fractional_positions": [[0.1369, 0.6369, 0.5000], [0.6369, 0.8631, 0.5000], [0.8631, 0.3631, 0.5000], [0.3631, 0.1369, 0.5000], [0.3430, 0.8430, 0.0000], [0.8430, 0.6570, 0.0000], [0.6570, 0.1570, 0.0000], [0.1570, 0.3430, 0.0000], [0.0000, 0.0000, 0.0000], [0.5000, 0.5000, 0.0000]]}

---

(4)
{"formula": "InReSb4", "functional": "PBE-GGA", "state": "optimized geometry", "total_energy_ev_per_atom": -4.200, "raw_formation_energy_ev_per_fu": 6.48, "n_ef_per_ev_fu": 4.90, "magmom_total_mub_per_atom": 0.701, "lattice_angstrom": [[-5.5965, -2.2671, 1.3807], [-2.4431, 0.9835, 5.6063], [-4.8212, 3.8344, 0.6481]], "species": ["In", "Re", "Sb", "Sb", "Sb", "Sb"], "fractional_positions": [[0.7500, 0.7500, 0.7500], [0.0000, 0.0000, 0.0000], [0.8765, 0.3745, 0.3745], [0.3745, 0.3745, 0.8765], [0.3745, 0.8765, 0.3745], [0.3745, 0.3745, 0.3745]]}